Record 1
SrPbO2 | the Alexandria database | meta-GGA SCAN | single point on PBEsol structure; crystal system = tetragonal; formation energy without anion corrections = -1.841 eV/atom; spin magnetization = 0.0000 μB/atom
1.0
-4.231 -3.510 -0.334
3.395 -3.916 -1.862
1.397 2.025 6.433
O Sr Pb
4 2 2
direct
0.377 0.875 0.250
0.625 0.623 0.750
0.873 0.375 0.250
0.125 0.127 0.750
0.500 0.500 0.000
0.750 0.250 0.500
0.000 0.000 0.000
0.250 0.750 0.500

---

Record 2
HfNi2Pt2 | the Alexandria database | meta-GGA SCAN | single point on PBEsol structure; crystal system = tetragonal; ΔE_f = -2.69 eV/f.u.; spin magnetization = 0.0021 μB/atom
1.0
-0.561 -0.612 -3.321
-2.019 -2.637 0.827
-3.785 5.552 1.380
Pt Ni Hf
2 2 1
direct
0.396 0.396 0.791
0.604 0.604 0.209
0.750 0.250 0.500
0.250 0.750 0.500
0.000 0.000 0.000

---

Record 3
Gd2ZnRh | the Alexandria database | meta-GGA SCAN | single point on PBEsol structure; crystal system = cubic; ΔE_f = -2.31 eV/f.u.; spin magnetization = 3.6319 μB/atom
1.0
4.896 0.000 0.000
2.448 4.240 0.000
2.448 1.413 3.997
Zn Gd Rh
1 2 1
direct
0.000 0.000 0.000
0.250 0.250 0.250
0.750 0.750 0.750
0.500 0.500 0.500

---

Record 4
LiCd | the Alexandria database | meta-GGA SCAN | single point on PBEsol structure; crystal system = cubic; ΔE_f = -0.47 eV/f.u.; spin magnetization = 0.0000 μB/atom
1.0
-1.206 -0.108 5.088
4.994 -1.030 1.162
0.978 5.127 0.341
Li Cd
4 4
direct
0.096 0.096 0.096
0.596 0.404 0.904
0.404 0.904 0.596
0.904 0.596 0.404
0.101 0.601 0.899
0.399 0.399 0.399
0.899 0.101 0.601
0.601 0.899 0.101

---

Record 5
BaLa3TiCr3O12 | the Alexandria database | meta-GGA SCAN | single point on PBEsol structure; crystal system = orthorhombic; formation energy without anion corrections = -3.274 eV/atom; spin magnetization = 0.4500 μB/atom
1.0
3.881 0.000 0.000
0.000 5.503 0.000
0.000 0.000 10.933
O La Cr Ti Ba
12 3 3 1 1
direct
0.000 0.251 0.876
0.000 0.749 0.876
0.500 0.000 0.765
0.000 0.261 0.632
0.000 0.251 0.124
0.000 0.739 0.632
0.500 0.500 0.500
0.500 0.500 0.000
0.500 0.000 0.235
0.000 0.261 0.368
0.000 0.739 0.368
0.000 0.749 0.124
0.500 0.500 0.759
0.500 0.500 0.241
0.500 0.000 0.000
0.000 0.000 0.250
0.000 0.500 0.000
0.000 0.000 0.750
0.000 0.500 0.500
0.500 0.000 0.500

---

Record 6
ScInSi3 | the Alexandria database | meta-GGA SCAN | single point on PBEsol structure; crystal system = cubic; formation energy without anion corrections = 0.878 eV/atom; spin magnetization = 0.0000 μB/atom
1.0
-0.106 -1.126 4.854
4.365 -2.363 -0.453
2.404 4.242 1.037
In Si Sc
1 3 1
direct
0.500 0.500 0.500
0.000 0.500 0.000
0.000 0.000 0.500
0.500 0.000 0.000
0.000 0.000 0.000

---

What did we get for calculated volume? Answer: 172.3, 75.2, 83.0, 143.1, 233.5, 123.8 Å³ per cell, in the order shown.